Material: Pr3Ni5O12
Method: DFT, GGA+U
State: optimized geometry Values from VASP.

Properties
Energy = -477.706 eV per cell
Spin magnetization = 10.98 μB per formula unit

Quantum ESPRESSO input file:
```
&SYSTEM
  ibrav = 0, nat = 80, ntyp = 3
/
ATOMIC_SPECIES
O 16.00 O.upf
Pr 140.91 Pr.upf
Ni 58.69 Ni.upf
ATOMIC_POSITIONS crystal
O 0.478 0.681 0.098
O 0.681 0.203 0.583
O 0.380 0.978 0.797
O 0.297 0.417 0.819
O 0.583 0.880 0.402
O 0.380 0.402 0.083
O 0.022 0.402 0.819
O 0.478 0.797 0.880
O 0.681 0.478 0.598
O 0.978 0.598 0.181
O 0.598 0.978 0.681
O 0.917 0.098 0.620
O 0.620 0.598 0.917
O 0.880 0.297 0.478
O 0.098 0.181 0.478
O 0.083 0.902 0.380
O 0.902 0.819 0.522
O 0.319 0.797 0.417
O 0.181 0.083 0.703
O 0.620 0.022 0.203
O 0.203 0.681 0.083
O 0.181 0.098 0.978
O 0.402 0.380 0.583
O 0.583 0.703 0.681
O 0.902 0.083 0.880
O 0.083 0.181 0.203
O 0.402 0.022 0.319
O 0.120 0.703 0.522
O 0.703 0.120 0.022
O 0.120 0.417 0.098
O 0.297 0.880 0.978
O 0.819 0.902 0.022
O 0.917 0.819 0.797
O 0.797 0.478 0.380
O 0.417 0.120 0.598
O 0.522 0.203 0.120
O 0.203 0.522 0.620
O 0.319 0.522 0.402
O 0.022 0.620 0.703
O 0.417 0.297 0.319
O 0.797 0.319 0.917
O 0.598 0.620 0.417
O 0.098 0.917 0.120
O 0.522 0.319 0.902
O 0.703 0.583 0.181
O 0.819 0.917 0.297
O 0.880 0.583 0.902
O 0.978 0.380 0.297
Pr 0.125 0.875 0.750
Pr 0.625 0.250 0.375
Pr 0.250 0.625 0.875
Pr 0.125 0.250 0.875
Pr 0.750 0.375 0.125
Pr 0.875 0.125 0.250
Pr 0.750 0.875 0.625
Pr 0.625 0.375 0.750
Pr 0.875 0.750 0.125
Pr 0.375 0.750 0.625
Pr 0.375 0.625 0.250
Pr 0.250 0.125 0.375
Ni 0.875 0.625 0.750
Ni 0.750 0.125 0.875
Ni 0.250 0.875 0.125
Ni 0.125 0.750 0.375
Ni 0.125 0.375 0.250
Ni 0.500 0.000 0.000
Ni 0.375 0.250 0.125
Ni 0.000 0.000 0.500
Ni 0.625 0.750 0.875
Ni 0.750 0.625 0.375
Ni 0.000 0.500 0.500
Ni 0.250 0.375 0.625
Ni 0.000 0.500 0.000
Ni 0.500 0.500 0.000
Ni 0.875 0.250 0.625
Ni 0.500 0.000 0.500
Ni 0.625 0.875 0.250
Ni 0.500 0.500 0.500
Ni 0.000 0.000 0.000
Ni 0.375 0.125 0.750
CELL_PARAMETERS angstrom
-2.701 0.239 10.617
-6.189 -7.414 -5.177
10.568 -2.711 -1.021
```